No. 1
Computed, not measured: a relaxed V3MoP crystal at the PBE level of DFT.

a b c (Å): 4.5278 4.5278 4.5278
angles (deg): 90.00 90.00 90.00
Closest atoms and distances in Å follow each position.
Sites, in units of the cell vectors:
V  0.0000  0.0000  0.5000  2 Mo 2.26
V  0.0000  0.5000  0.0000  2 Mo 2.26
V  0.5000  0.0000  0.0000  2 Mo 2.26
Mo  0.0000  0.0000  0.0000  6 V 2.26
P  0.5000  0.5000  0.5000  12 V 3.20

Calculated values
As for the space group: Pm-3m, No. 221. For the total moment, the calculation gives 0.00 μB/f.u. The total DFT energy (no corrections) comes out at -7.328 eV per atom. As for the energy above the most stable polymorph in this dataset: 7.729 eV per formula unit. The value obtained for the energy relative to the elements is 1392 meV per atom.



No. 2
Computed, not measured: a relaxed ThMg2Bi crystal at the PBE level of DFT.

a b c (Å): 4.6755 4.6755 5.0062
angles (deg): 90.00 90.00 90.00
Closest atoms and distances in Å follow each position.
Sites, in units of the cell vectors:
Th  0.0000  0.0000  0.0000  4 Bi 3.31, 8 Mg 3.43
Mg  0.0000  0.5000  0.5000  4 Mg 3.31, 4 Th 3.43, 4 Bi 3.43
Mg  0.5000  0.0000  0.5000  4 Mg 3.31, 4 Th 3.43, 4 Bi 3.43
Bi  0.5000  0.5000  0.0000  4 Th 3.31, 8 Mg 3.43

Calculated values
As for the space group: P4/mmm, No. 123. For the total moment, the calculation gives 0.00 μB/f.u. The total DFT energy (no corrections) comes out at -3.852 eV per atom. As for the energy above the most stable polymorph in this dataset: 0.000 eV per formula unit. The value obtained for the energy relative to the elements is -230 meV per atom.



No. 3
Computed, not measured: a relaxed Th8TcTe4Pt3 crystal at the PBE level of DFT.

a b c (Å): 9.1029 9.1029 9.1029
angles (deg): 55.44 55.44 55.44
Closest atoms and distances in Å follow each position.
Sites, in units of the cell vectors:
Th  0.2350  0.2350  0.2350  3 Pt 2.91
Th  0.2450  0.7306  0.7306  1 Tc 2.85, 2 Pt 2.94
Th  0.2694  0.2694  0.7550  1 Tc 2.85, 2 Pt 2.94
Th  0.2694  0.7550  0.2694  1 Tc 2.85, 2 Pt 2.94
Th  0.7306  0.2450  0.7306  1 Tc 2.85, 2 Pt 2.94
Th  0.7306  0.7306  0.2450  1 Tc 2.85, 2 Pt 2.94
Th  0.7550  0.2694  0.2694  1 Tc 2.85, 2 Pt 2.94
Th  0.7650  0.7650  0.7650  3 Pt 2.91
Tc  0.5000  0.5000  0.5000  6 Th 2.85
Te  0.0000  0.0000  0.0000  6 Th 3.38
Te  0.0000  0.5000  0.5000  6 Th 3.30-3.33
Te  0.5000  0.0000  0.5000  6 Th 3.30-3.33
Te  0.5000  0.5000  0.0000  6 Th 3.30-3.33
Pt  0.0000  0.0000  0.5000  6 Th 2.91-2.94
Pt  0.0000  0.5000  0.0000  6 Th 2.91-2.94
Pt  0.5000  0.0000  0.0000  6 Th 2.91-2.94

Calculated values
As for the space group: R-3m, No. 166. For the total moment, the calculation gives 0.00 μB/f.u. The total DFT energy (no corrections) comes out at -7.336 eV per atom. The value obtained for the formation energy without anion corrections is -16.957 eV per formula unit.



No. 4
Computed, not measured: a relaxed CdCoBiCl2 crystal at the PBE level of DFT.

a b c (Å): 4.5266 4.5266 5.7195
angles (deg): 90.00 90.00 90.00
Closest atoms and distances in Å follow each position.
Sites, in units of the cell vectors:
Cd  0.0000  0.0000  0.0000  4 Bi 3.20
Co  0.5000  0.5000  0.5000  4 Cl 2.26
Bi  0.5000  0.5000  0.0000  2 Co 2.86, 4 Cd 3.20
Cl  0.0000  0.5000  0.5000  2 Co 2.26
Cl  0.5000  0.0000  0.5000  2 Co 2.26

Calculated values
As for the space group: P4/mmm, No. 123. For the total moment, the calculation gives 1.13 μB/f.u. The total DFT energy (no corrections) comes out at -3.233 eV per atom. The value obtained for the formation energy without anion corrections is -0.572 eV per formula unit.



No. 5
Computed, not measured: a relaxed La2DyI2N2 crystal at the PBE level of DFT.

a b c (Å): 10.2076 10.2076 10.2076
angles (deg): 154.33 154.33 36.62
Closest atoms and distances in Å follow each position.
Sites, in units of the cell vectors:
La  0.0782  0.0782  0.0000  4 N 2.73, 1 La 3.03
La  0.9218  0.9218  0.0000  4 N 2.73, 1 La 3.03
Dy  0.5000  0.5000  0.0000  4 N 2.27
I  0.3346  0.3346  0.0000  1 Dy 3.21
I  0.6654  0.6654  0.0000  1 Dy 3.21
N  0.0000  0.5000  0.5000  2 Dy 2.27
N  0.5000  0.0000  0.5000  2 Dy 2.27

Calculated values
As for the space group: I4/mmm, No. 139. For the total moment, the calculation gives 0.97 μB/f.u. The total DFT energy (no corrections) comes out at -6.230 eV per atom. The value obtained for the formation energy without anion corrections is -9.402 eV per formula unit.



No. 6
Computed, not measured: a relaxed PHS crystal at the PBE level of DFT.

a b c (Å): 4.2105 5.1163 5.5292
angles (deg): 81.54 70.57 84.11
Closest atoms and distances in Å follow each position.
Sites, in units of the cell vectors:
P  0.0219  0.2299  0.4126  1 H 1.43
P  0.9781  0.7701  0.5874  1 H 1.43
H  0.3613  0.1968  0.2437  1 P 1.43
H  0.6387  0.8032  0.7563  1 P 1.43
S  0.0948  0.3501  0.7377  2 P 2.11-2.25
S  0.9052  0.6499  0.2623  2 P 2.11-2.25

Calculated values
As for the space group: P-1, No. 2. For the total moment, the calculation gives 0.00 μB/f.u. The total DFT energy (no corrections) comes out at -4.331 eV per atom. As for the energy above the most stable polymorph in this dataset: 0.000 eV per formula unit.



No. 7
Computed, not measured: a relaxed Zr2InTc crystal at the PBE level of DFT.

a b c (Å): 5.5043 5.5043 5.5043
angles (deg): 135.77 135.77 64.33
Closest atoms and distances in Å follow each position.
Sites, in units of the cell vectors:
Zr  0.0000  0.0000  0.0000  4 Tc 2.93, 4 Zr 3.12, 4 In 3.12
Zr  0.7500  0.2500  0.5000  4 In 2.93, 4 Zr 3.12, 4 Tc 3.12
In  0.2500  0.7500  0.5000  8 Zr 2.93-3.12, 4 Tc 3.12
Tc  0.5000  0.5000  0.0000  8 Zr 2.93-3.12, 4 In 3.12

Calculated values
As for the space group: I-4m2, No. 119. For the total moment, the calculation gives 0.00 μB/f.u. The total DFT energy (no corrections) comes out at -7.644 eV per atom. As for the energy above the most stable polymorph in this dataset: 1.124 eV per formula unit. The value obtained for the energy relative to the elements is -94 meV per atom.



No. 8
Computed, not measured: a relaxed LiInPtAu crystal at the PBE level of DFT.

a b c (Å): 4.8356 4.8356 4.8356
angles (deg): 128.76 128.76 75.39
Closest atoms and distances in Å follow each position.
Sites, in units of the cell vectors:
Li  0.0000  0.0000  0.0000  4 Pt 2.83, 4 Au 2.83, 4 In 2.96
In  0.5000  0.5000  0.0000  4 Pt 2.83, 4 Au 2.83, 4 Li 2.96
Pt  0.7500  0.2500  0.5000  4 In 2.83, 4 Li 2.83, 4 Au 2.96
Au  0.2500  0.7500  0.5000  4 In 2.83, 4 Li 2.83, 4 Pt 2.96

Calculated values
As for the space group: I-4m2, No. 119. For the total moment, the calculation gives 0.00 μB/f.u. The total DFT energy (no corrections) comes out at -3.983 eV per atom. The value obtained for the energy relative to the elements is -490 meV per atom.